## CaNiO (PBE+U)

Data for an optimized crystal structure of CaNiO.

Lattice parameters (Å, degrees): 3.1824 5.8845 5.8851 64.80 89.93 89.90
Atoms (fractional coordinates):
Ca (0.0000, 0.0000, 0.0000)
Ca (0.0003, 0.4422, 0.4422)
Ni (0.0037, 0.5711, 0.8711)
Ni (0.5006, 0.9049, 0.5373)
O (0.5000, 0.7611, 0.2896)
O (0.5005, 0.1526, 0.6811)

## Properties
- space-group type = No. 1
- DFT total energy (eV/atom) = -4.380
- total moment (μB per formula unit) = 0.88
- crystal system = triclinic
- DOS(E_F) (states/eV/f.u.) = 0.602